1.
The following is a GGA-PBE calculation of crystalline Cu3SiNi at its relaxed geometry, from the Alexandria database.

Cell: 4.295 4.295 4.295 Å, 90.00 90.00 90.00°
Element x y z (fractional)
Cu (0.000, 0.000, 0.500)
Cu (0.000, 0.500, 0.000)
Cu (0.500, 0.000, 0.000)
Si (0.000, 0.000, 0.000)
Ni (0.500, 0.500, 0.500)

Properties
* ΔE to the lowest computed polymorph: 0.00 eV per formula unit
* energy relative to the elements, uncorrected: 69.5 kJ/mol of atoms
* space-group type: Pm-3m, No. 221
* volume: 15.8 A^3/atom

=====

2.
The following is a GGA-PBE calculation of crystalline SnSbCl3 at its relaxed geometry, from the Alexandria database.

Cell: 5.470 5.470 5.470 Å, 90.00 90.00 90.00°
Element x y z (fractional)
Sn (0.000, 0.000, 0.000)
Sb (0.500, 0.500, 0.500)
Cl (0.000, 0.000, 0.500)
Cl (0.000, 0.500, 0.000)
Cl (0.500, 0.000, 0.000)

Properties
* ΔE to the lowest computed polymorph: 0.00 eV per formula unit
* energy relative to the elements, uncorrected: -23.6 kJ/mol of atoms
* space-group type: Pm-3m, No. 221
* volume: 32.7 A^3/atom

=====

3.
The following is a GGA-PBE calculation of crystalline GaPbAu4 at its relaxed geometry, from the Alexandria database.

Cell: 9.585 9.585 5.117 Å, 103.16 103.16 32.06°
Element x y z (fractional)
Ga (0.000, 0.500, 0.000)
Ga (0.500, 0.000, 0.500)
Pb (0.223, 0.777, 0.750)
Pb (0.777, 0.223, 0.250)
Au (0.013, 0.639, 0.609)
Au (0.212, 0.590, 0.173)
Au (0.361, 0.987, 0.891)
Au (0.410, 0.788, 0.327)
Au (0.590, 0.212, 0.673)
Au (0.639, 0.013, 0.109)
Au (0.788, 0.410, 0.827)
Au (0.987, 0.361, 0.391)

Properties
* energy relative to the elements: -0.40 eV per formula unit
* ΔE to the lowest computed polymorph: 0.00 eV per formula unit
* space-group type: C2/c, No. 15
* volume: 20.2 A^3/atom